(1)
This record from Alexandria describes crystalline RbMg2HgBr at its relaxed geometry. The functional is PBE.

Summary:
Raw formation energy: -336 meV/atom

a = 5.300 Å, b = 7.093 Å, c = 5.300 Å
α = 90.00°, β = 90.00°, γ = 90.00°
Positions (direct):
Mg: 0.000 0.000 0.500
Mg: 0.500 0.000 0.000
Br: 0.000 0.500 0.000
Hg: 0.000 0.000 0.000
Rb: 0.500 0.500 0.500


(2)
This record from Alexandria describes crystalline LaCu4Ni4 at its relaxed geometry. The functional is PBE.

Summary:
Calculated formation energy: -0.03 eV per atom

a = 4.197 Å, b = 7.974 Å, c = 7.974 Å
α = 90.00°, β = 90.00°, γ = 90.00°
Positions (direct):
Cu: 0.000 0.232 0.338
Cu: 0.500 0.732 0.838
Cu: 0.000 0.768 0.662
Cu: 0.500 0.838 0.268
Cu: 0.000 0.338 0.768
Cu: 0.500 0.162 0.732
Cu: 0.000 0.662 0.232
Cu: 0.500 0.268 0.162
Ni: 0.500 0.887 0.585
Ni: 0.000 0.613 0.915
Ni: 0.500 0.113 0.415
Ni: 0.500 0.415 0.887
Ni: 0.000 0.915 0.387
Ni: 0.500 0.585 0.113
Ni: 0.000 0.085 0.613
Ni: 0.000 0.387 0.085
La: 0.000 0.000 0.000
La: 0.500 0.500 0.500


(3)
This record from Alexandria describes crystalline RbTe3Ru at its relaxed geometry. The functional is PBE.

Summary:
Energy above the most stable polymorph in this dataset: 1857 meV per atom
Raw formation energy: 1853 meV/atom

a = 6.093 Å, b = 6.093 Å, c = 6.093 Å
α = 90.00°, β = 90.00°, γ = 90.00°
Positions (direct):
Te: 0.000 0.500 0.000
Te: 0.500 0.000 0.000
Te: 0.000 0.000 0.500
Ru: 0.500 0.500 0.500
Rb: 0.000 0.000 0.000


(4)
This record from Alexandria describes crystalline LiCrCd2Co at its relaxed geometry. The functional is PBE.

Summary:
Calculated formation energy: 0.46 eV per atom

a = 4.980 Å, b = 4.308 Å, c = 4.980 Å
α = 90.00°, β = 90.00°, γ = 90.00°
Positions (direct):
Co: 0.000 0.000 0.000
Cr: 0.000 0.500 0.000
Cd: 0.500 0.000 0.000
Cd: 0.000 0.000 0.500
Li: 0.500 0.500 0.500


(5)
This record from Alexandria describes crystalline HSeS3 at its relaxed geometry. The functional is PBE.

Summary:
VASP energy: -0.20128 Ry per atom

a = 4.130 Å, b = 4.130 Å, c = 4.130 Å
α = 90.00°, β = 90.00°, γ = 90.00°
Positions (direct):
S: 0.000 0.500 0.000
S: 0.000 0.000 0.500
S: 0.500 0.000 0.000
Se: 0.500 0.500 0.500
H: 0.000 0.000 0.000


(6)
This record from Alexandria describes crystalline NaCuS4 at its relaxed geometry. The functional is PBE.

Summary:
Raw formation energy: -188 meV/atom

a = 5.683 Å, b = 5.683 Å, c = 12.131 Å
α = 76.45°, β = 76.45°, γ = 90.00°
Positions (direct):
Cu: 0.375 0.125 0.750
Cu: 0.625 0.875 0.250
S: 0.017 0.823 0.164
S: 0.323 0.819 0.664
S: 0.513 0.517 0.664
S: 0.681 0.987 0.836
S: 0.319 0.013 0.164
S: 0.487 0.483 0.336
S: 0.677 0.181 0.336
S: 0.983 0.177 0.836
Na: 0.875 0.625 0.750
Na: 0.125 0.375 0.250


(7)
This record from Alexandria describes crystalline Ho2MoC2 at its relaxed geometry. The functional is PBE.

Summary:
Calculated formation energy: -0.33 eV per atom

a = 5.093 Å, b = 6.628 Å, c = 9.950 Å
α = 90.00°, β = 90.00°, γ = 90.00°
Positions (direct):
C: 0.250 0.675 0.554
C: 0.750 0.325 0.446
C: 0.250 0.175 0.946
C: 0.750 0.937 0.742
C: 0.750 0.825 0.054
C: 0.250 0.063 0.258
C: 0.250 0.563 0.242
C: 0.750 0.437 0.758
Ho: 0.250 0.826 0.060
Ho: 0.250 0.455 0.779
Ho: 0.750 0.545 0.221
Ho: 0.750 0.674 0.560
Ho: 0.750 0.045 0.279
Ho: 0.250 0.955 0.721
Ho: 0.750 0.174 0.940
Ho: 0.250 0.326 0.440
Mo: 0.750 0.208 0.628
Mo: 0.750 0.708 0.872
Mo: 0.250 0.292 0.128
Mo: 0.250 0.792 0.372


(8)
This record from Alexandria describes crystalline CaPmHgPt at its relaxed geometry. The functional is PBE.

Summary:
Energy above the most stable polymorph in this dataset: 0 meV per atom
Calculated formation energy: -0.78 eV per atom

a = 3.631 Å, b = 3.631 Å, c = 7.595 Å
α = 90.00°, β = 90.00°, γ = 90.00°
Positions (direct):
Pm: 0.000 0.000 0.826
Hg: 0.500 0.500 0.104
Pt: 0.500 0.500 0.623
Ca: 0.000 0.000 0.375


Number 1: Fermi-level density of states 1.99 states/eV/f.u., total moment 0.0000 μB per atom. Number 2: Fermi-level density of states 6.30 states/eV/f.u., total moment 0.0000 μB per atom. Number 3: Fermi-level density of states 30.11 states/eV/f.u., total moment 0.5763 μB per atom. Number 4: Fermi-level density of states 2.47 states/eV/f.u., total moment 0.6190 μB per atom. Number 5: Fermi-level density of states 3.91 states/eV/f.u., total moment 0.0000 μB per atom. Number 6: Fermi-level density of states 3.63 states/eV/f.u., total moment 0.0000 μB per atom. Number 7: Fermi-level density of states 2.56 states/eV/f.u., total moment 0.0000 μB per atom. Number 8: Fermi-level density of states 2.52 states/eV/f.u., total moment 0.0000 μB per atom.